# 1
Compound: Dy4Hg2H
Source: Alexandria via LeMat-Bulk
Functional: PBE-GGA
Structure: relaxed

Calculated values
total DFT energy (no corrections): -3.522 eV per atom
polymorph energy (0 for the lowest one): 0.0523 eV per atom
crystal system: tetragonal
size of the total moment: 0.00 μB/cell

Lattice parameters (Å, degrees): 4.694 4.694 15.519 90.00 90.00 90.00
Space group I4/mmm (No. 139)
Asymmetric unit:
Dy1 0.000 0.000 0.180 x4
Dy2 0.000 0.500 0.000 x4
Hg1 0.000 0.000 0.368 x4
H1 0.000 0.000 0.000 x2

# 2
Compound: NaVN2
Source: Alexandria via LeMat-Bulk
Functional: PBE-GGA
Structure: relaxed

Calculated values
total DFT energy (no corrections): -7.423 eV per atom
crystal system: orthorhombic
size of the total moment: 0.00 μB/cell

Lattice parameters (Å, degrees): 5.870 11.916 6.883 90.00 90.00 90.00
Space group Cmce (No. 64)
Asymmetric unit:
Na1 0.000 0.175 0.071 x8
V1 0.000 0.070 0.644 x8
N1 0.000 0.082 0.383 x8
N2 0.250 0.136 0.750 x8

Going through the records in order, we get calculated volume values of 24.4 15.0 Å³ per atom.